(1)
Entry from Alexandria via LeMat-Bulk: MgReW at its PBEsol-relaxed geometry (meta-GGA SCAN).

Output
- Energy of formation from the pure elements: 788 meV/atom
- N(E_F): 1.1667 states/eV/atom
- Total magnetic moment: 0.000 Bohr magnetons per cell

Geometry as POSCAR:
```
MgReW
1.0
4.2782 0.0000 0.0000
2.1391 3.7050 0.0000
2.1391 1.2350 3.4931
Mg Re W
1 1 1
Cartesian
4.2782 2.4700 1.7466
2.1391 1.2350 0.8733
0.0000 0.0000 0.0000
```

=====

(2)
Entry from Alexandria via LeMat-Bulk: MgReW2 at its PBEsol-relaxed geometry (meta-GGA SCAN).

Output
- Energy of formation from the pure elements: 497 meV/atom
- N(E_F): 0.6144 states/eV/atom
- Total magnetic moment: 0.000 Bohr magnetons per cell

Geometry as POSCAR:
```
MgReW2
1.0
3.9189 0.0000 0.0000
0.0000 3.9189 0.0000
0.0000 0.0000 4.0588
W Re Mg
2 1 1
Cartesian
0.0000 1.9595 0.0000
1.9595 0.0000 0.0000
0.0000 0.0000 2.0294
1.9595 1.9595 2.0294
```

=====

(3)
Entry from Alexandria via LeMat-Bulk: Mg3ReW at its PBEsol-relaxed geometry (meta-GGA SCAN).

Output
- Energy of formation from the pure elements: 1961 meV/atom
- N(E_F): 0.5700 states/eV/atom
- Total magnetic moment: 3.210 Bohr magnetons per cell

Geometry as POSCAR:
```
Mg3ReW
1.0
4.8864 0.0000 0.0000
0.0000 4.8864 0.0000
0.0000 0.0000 4.8864
Re W Mg
1 1 3
Cartesian
0.0000 0.0000 0.0000
2.4432 2.4432 2.4432
2.4432 0.0000 0.0000
0.0000 0.0000 2.4432
0.0000 2.4432 0.0000
```